VASP calculation (GGA-PBE) on crystalline Pr5Dy2HoTm at its relaxed geometry.

Cell lengths 10.685, 10.685, 10.719 Å; angles 90.00, 90.00, 149.32 degrees
Sites, in units of the cell vectors:
Pr: 0.014 0.986 0.500
Pr: 0.119 0.881 0.774
Pr: 0.204 0.796 0.462
Pr: 0.221 0.779 0.069
Pr: 0.485 0.515 0.768
Pr: 0.515 0.485 0.268
Pr: 0.779 0.221 0.569
Pr: 0.796 0.204 0.962
Pr: 0.881 0.119 0.274
Pr: 0.986 0.014 0.000
Dy: 0.386 0.614 0.058
Dy: 0.387 0.613 0.494
Dy: 0.613 0.387 0.994
Dy: 0.614 0.386 0.558
Ho: 0.095 0.905 0.222
Ho: 0.905 0.095 0.722
Tm: 0.302 0.698 0.765
Tm: 0.698 0.302 0.265

Results
energy of formation: 139 meV/atom
symmetry: No. 36

=====

VASP calculation (GGA-PBE) on crystalline PrDyHoTm at its relaxed geometry.

Cell lengths 3.439, 5.614, 6.738 Å; angles 90.00, 90.00, 90.00 degrees
Sites, in units of the cell vectors:
Pr: 0.000 0.000 0.000
Dy: 0.000 0.500 0.258
Ho: 0.000 0.000 0.518
Tm: 0.500 0.500 0.749

Results
energy above the most stable polymorph in this dataset: 73 meV/atom
energy of formation: 191 meV/atom
symmetry: No. 25

=====

VASP calculation (GGA-PBE) on crystalline Pr6DyHo2Tm3 at its relaxed geometry.

Cell lengths 6.280, 6.280, 11.811 Å; angles 95.07, 95.07, 119.99 degrees
Sites, in units of the cell vectors:
Pr: 0.083 0.416 0.249
Pr: 0.250 0.250 0.751
Pr: 0.416 0.083 0.249
Pr: 0.584 0.917 0.751
Pr: 0.750 0.750 0.249
Pr: 0.917 0.584 0.751
Dy: 0.500 0.500 0.500
Ho: 0.167 0.833 0.500
Ho: 0.833 0.167 0.500
Tm: 0.000 0.000 0.000
Tm: 0.333 0.667 0.000
Tm: 0.667 0.333 0.000

Results
energy of formation: 14 meV/atom
symmetry: No. 12

=====

VASP calculation (GGA-PBE) on crystalline PrDy6Ho2Tm3 at its relaxed geometry.

Cell lengths 6.126, 6.126, 11.728 Å; angles 94.98, 94.98, 119.94 degrees
Sites, in units of the cell vectors:
Pr: 0.000 0.000 0.000
Dy: 0.085 0.419 0.253
Dy: 0.249 0.249 0.747
Dy: 0.419 0.085 0.253
Dy: 0.581 0.915 0.747
Dy: 0.751 0.751 0.253
Dy: 0.915 0.581 0.747
Ho: 0.333 0.667 0.000
Ho: 0.667 0.333 0.000
Tm: 0.167 0.833 0.500
Tm: 0.500 0.500 0.500
Tm: 0.833 0.167 0.500

Results
energy of formation: 21 meV/atom
symmetry: No. 12